Entry 1:
A plane-wave DFT calculation with PBE was carried out for La2Zn2F after structural relaxation.

abc: 4.152 4.152 7.517
angles: 90.00 90.00 120.00
Atoms (fractional coordinates):
F: 0.333 0.667 0.000
La: 0.667 0.333 0.222
La: 0.667 0.333 0.778
Zn: 0.000 0.000 0.500
Zn: 0.333 0.667 0.500

E_tot	-3.91	eV per atom
M_tot	0.13	μB/f.u.
space group	No. 187

Entry 2:
A plane-wave DFT calculation with PBE was carried out for La2ZrF8 after structural relaxation.

abc: 6.913 6.913 6.913
angles: 136.78 136.78 62.77
Atoms (fractional coordinates):
F: 0.757 0.305 0.149
F: 0.076 0.398 0.158
F: 0.081 0.924 0.321
F: 0.695 0.844 0.452
F: 0.392 0.243 0.548
F: 0.602 0.760 0.679
F: 0.240 0.919 0.842
F: 0.156 0.608 0.851
La: 0.330 0.330 0.000
La: 0.670 0.670 0.000
Zr: 0.000 0.000 0.000

E_tot	-6.57	eV per atom
M_tot	1.59	μB/f.u.
space group	No. 82

Entry 3:
A plane-wave DFT calculation with PBE was carried out for Sr2LiTaN3F after structural relaxation.

abc: 10.771 5.564 15.824
angles: 90.00 90.00 90.00
Atoms (fractional coordinates):
F: 0.255 0.042 0.082
F: 0.245 0.542 0.082
F: 0.755 0.042 0.418
F: 0.745 0.542 0.418
F: 0.255 0.458 0.582
F: 0.245 0.958 0.582
F: 0.755 0.458 0.918
F: 0.745 0.958 0.918
Li: 0.165 0.291 0.021
Li: 0.335 0.791 0.021
Li: 0.665 0.291 0.479
Li: 0.835 0.791 0.479
Li: 0.165 0.209 0.521
Li: 0.335 0.709 0.521
Li: 0.665 0.209 0.979
Li: 0.835 0.709 0.979
N: 0.995 0.247 0.075
N: 0.505 0.747 0.075
N: 0.678 0.181 0.112
N: 0.822 0.681 0.112
N: 0.383 0.304 0.248
N: 0.117 0.804 0.248
N: 0.883 0.304 0.252
N: 0.617 0.804 0.252
N: 0.178 0.181 0.388
N: 0.322 0.681 0.388
N: 0.495 0.247 0.425
N: 0.005 0.747 0.425
N: 0.995 0.253 0.575
N: 0.505 0.753 0.575
N: 0.678 0.319 0.612
N: 0.822 0.819 0.612
N: 0.383 0.196 0.748
N: 0.117 0.696 0.748
N: 0.883 0.196 0.752
N: 0.617 0.696 0.752
N: 0.178 0.319 0.888
N: 0.322 0.819 0.888
N: 0.495 0.253 0.925
N: 0.005 0.753 0.925
Sr: 0.449 0.293 0.085
Sr: 0.051 0.793 0.085
Sr: 0.130 0.284 0.215
Sr: 0.370 0.784 0.215
Sr: 0.630 0.284 0.285
Sr: 0.870 0.784 0.285
Sr: 0.949 0.293 0.415
Sr: 0.551 0.793 0.415
Sr: 0.449 0.207 0.585
Sr: 0.051 0.707 0.585
Sr: 0.130 0.216 0.715
Sr: 0.370 0.716 0.715
Sr: 0.630 0.216 0.785
Sr: 0.870 0.716 0.785
Sr: 0.949 0.207 0.915
Sr: 0.551 0.707 0.915
Ta: 0.845 0.333 0.134
Ta: 0.655 0.833 0.134
Ta: 0.345 0.333 0.366
Ta: 0.155 0.833 0.366
Ta: 0.845 0.167 0.634
Ta: 0.655 0.667 0.634
Ta: 0.345 0.167 0.866
Ta: 0.155 0.667 0.866

E_tot	-7.11	eV per atom
M_tot	0.00	μB/f.u.
space group	No. 61

Entry 4:
A plane-wave DFT calculation with PBE was carried out for NaLiNbOF5 after structural relaxation.

abc: 5.631 5.631 8.201
angles: 90.00 90.00 90.00
Atoms (fractional coordinates):
F: 0.258 0.242 0.297
F: 0.742 0.242 0.297
F: 0.258 0.758 0.297
F: 0.742 0.758 0.297
F: 0.000 0.500 0.496
F: 0.500 0.000 0.504
F: 0.242 0.258 0.703
F: 0.758 0.258 0.703
F: 0.242 0.742 0.703
F: 0.758 0.742 0.703
Li: 0.000 0.000 0.500
Li: 0.500 0.500 0.500
Na: 0.000 0.500 0.226
Na: 0.500 0.000 0.774
Nb: 0.500 0.000 0.249
Nb: 0.000 0.500 0.751
O: 0.500 0.000 0.035
O: 0.000 0.500 0.965

E_tot	-5.85	eV per atom
M_tot	0.00	μB/f.u.
space group	No. 129

Entry 5:
A plane-wave DFT calculation with PBE was carried out for Na2LiTcF6 after structural relaxation.

abc: 5.468 5.468 5.468
angles: 119.79 119.79 90.37
Atoms (fractional coordinates):
F: 0.758 0.242 0.000
F: 0.243 0.243 0.000
F: 0.757 0.757 0.000
F: 0.242 0.758 0.000
F: 0.242 0.242 0.485
F: 0.758 0.758 0.515
Li: 0.000 0.000 0.000
Na: 0.750 0.250 0.500
Na: 0.250 0.750 0.500
Tc: 0.500 0.500 0.000

M_tot	2.00	μB/f.u.
space group	No. 139
distance to the lowest polymorph of the same formula	40	meV/atom

Entry 6:
A plane-wave DFT calculation with PBE was carried out for Na2LiTcF6 after structural relaxation.

abc: 5.446 5.446 5.446
angles: 121.23 121.23 87.87
Atoms (fractional coordinates):
F: 0.259 0.259 0.000
F: 0.741 0.741 0.000
F: 0.330 0.822 0.152
F: 0.822 0.670 0.492
F: 0.178 0.330 0.508
F: 0.670 0.178 0.848
Li: 0.500 0.500 0.000
Na: 0.750 0.250 0.500
Na: 0.250 0.750 0.500
Tc: 0.000 0.000 0.000

M_tot	2.00	μB/f.u.
space group	No. 87
distance to the lowest polymorph of the same formula	0	meV/atom

Entry 7:
A plane-wave DFT calculation with PBE was carried out for Na2LiZrF6 after structural relaxation.

abc: 5.428 5.324 9.247
angles: 90.00 124.42 90.00
Atoms (fractional coordinates):
F: 0.876 0.187 0.043
F: 0.790 0.689 0.085
F: 0.364 0.506 0.238
F: 0.636 0.006 0.262
F: 0.210 0.189 0.415
F: 0.124 0.687 0.457
F: 0.876 0.313 0.543
F: 0.790 0.811 0.585
F: 0.364 0.994 0.738
F: 0.636 0.494 0.762
F: 0.210 0.311 0.915
F: 0.124 0.813 0.957
Li: 0.000 0.500 0.000
Li: 0.000 0.000 0.500
Na: 0.221 0.924 0.238
Na: 0.779 0.424 0.262
Na: 0.221 0.576 0.738
Na: 0.779 0.076 0.762
Zr: 0.500 0.000 0.000
Zr: 0.500 0.500 0.500

M_tot	1.00	μB/f.u.
space group	No. 14
distance to the lowest polymorph of the same formula	25	meV/atom

Entry 8:
A plane-wave DFT calculation with PBE was carried out for Na2LiZrF6 after structural relaxation.

abc: 5.365 5.365 5.667
angles: 118.41 118.41 59.84
Atoms (fractional coordinates):
F: 0.673 0.184 0.155
F: 0.184 0.673 0.155
F: 0.248 0.248 0.382
F: 0.752 0.752 0.618
F: 0.816 0.327 0.845
F: 0.327 0.816 0.845
Li: 0.000 0.000 0.000
Na: 0.750 0.750 0.218
Na: 0.250 0.250 0.782
Zr: 0.500 0.500 0.500

M_tot	1.00	μB/f.u.
space group	No. 12
distance to the lowest polymorph of the same formula	0	meV/atom

Entry 9:
A plane-wave DFT calculation with PBE was carried out for Li2NbF5 after structural relaxation.

abc: 5.234 5.234 4.413
angles: 112.44 112.44 81.72
Atoms (fractional coordinates):
F: 0.299 0.299 0.305
F: 0.001 0.001 0.502
F: 0.701 0.701 0.695
F: 0.700 0.299 0.000
F: 0.299 0.700 0.000
Li: 0.509 0.509 0.258
Li: 0.491 0.491 0.742
Nb: 0.000 0.000 0.000

E_tot	-5.58	eV per atom
M_tot	2.00	μB/f.u.
space group	No. 8

Entry 10:
A plane-wave DFT calculation with PBE was carried out for LiNpF6 after structural relaxation.

abc: 5.594 5.594 5.594
angles: 60.00 60.00 60.00
Atoms (fractional coordinates):
F: 0.759 0.759 0.241
F: 0.759 0.241 0.241
F: 0.241 0.759 0.241
F: 0.241 0.241 0.759
F: 0.241 0.759 0.759
F: 0.759 0.241 0.759
Li: 0.000 0.000 0.000
Np: 0.500 0.500 0.500

E_tot	-6.46	eV per atom
M_tot	2.00	μB/f.u.
space group	No. 225

Entry 11:
A plane-wave DFT calculation with PBE was carried out for LiNpF5 after structural relaxation.

abc: 10.737 10.737 10.737
angles: 95.05 95.05 145.48
Atoms (fractional coordinates):
F: 0.724 0.593 0.024
F: 0.983 0.155 0.041
F: 0.603 0.972 0.044
F: 0.407 0.431 0.130
F: 0.295 0.574 0.131
F: 0.309 0.853 0.131
F: 0.456 0.215 0.160
F: 0.058 0.017 0.172
F: 0.915 0.545 0.221
F: 0.785 0.945 0.242
F: 0.965 0.305 0.258
F: 0.835 0.705 0.279
F: 0.692 0.233 0.328
F: 0.294 0.035 0.340
F: 0.441 0.397 0.369
F: 0.455 0.676 0.369
F: 0.343 0.819 0.370
F: 0.147 0.278 0.456
F: 0.767 0.095 0.459
F: 0.026 0.657 0.476
F: 0.181 0.550 0.524
F: 0.636 0.308 0.541
F: 0.822 0.691 0.544
F: 0.450 0.974 0.630
F: 0.306 0.085 0.631
F: 0.028 0.072 0.631
F: 0.695 0.953 0.660
F: 0.905 0.364 0.672
F: 0.426 0.556 0.721
F: 0.047 0.706 0.742
F: 0.703 0.544 0.758
F: 0.324 0.694 0.779
F: 0.845 0.886 0.828
F: 0.055 0.297 0.840
F: 0.722 0.178 0.869
F: 0.444 0.165 0.869
F: 0.300 0.276 0.870
F: 0.928 0.559 0.956
F: 0.114 0.942 0.959
F: 0.569 0.700 0.976
Li: 0.429 0.285 0.017
Li: 0.715 0.732 0.144
Li: 0.035 0.518 0.356
Li: 0.321 0.965 0.483
Li: 0.482 0.838 0.517
Li: 0.162 0.679 0.644
Li: 0.588 0.571 0.856
Li: 0.268 0.412 0.983
Np: 0.071 0.814 0.131
Np: 0.564 0.933 0.243
Np: 0.186 0.317 0.257
Np: 0.679 0.436 0.369
Np: 0.067 0.310 0.631
Np: 0.060 0.929 0.743
Np: 0.690 0.321 0.757
Np: 0.683 0.940 0.869

E_tot	-6.76	eV per atom
M_tot	3.00	μB/f.u.
space group	No. 88

Entry 12:
A plane-wave DFT calculation with PBE was carried out for LiZnSO4F after structural relaxation.

abc: 7.346 6.291 7.371
angles: 90.00 90.00 90.00
Atoms (fractional coordinates):
F: 0.899 0.250 0.135
F: 0.399 0.250 0.365
F: 0.601 0.750 0.635
F: 0.101 0.750 0.865
Li: 0.000 0.000 0.000
Li: 0.000 0.500 0.000
Li: 0.500 0.000 0.500
Li: 0.500 0.500 0.500
O: 0.796 0.750 0.028
O: 0.464 0.750 0.039
O: 0.137 0.562 0.232
O: 0.137 0.938 0.232
O: 0.637 0.562 0.268
O: 0.637 0.938 0.268
O: 0.964 0.750 0.461
O: 0.296 0.750 0.472
O: 0.704 0.250 0.528
O: 0.036 0.250 0.539
O: 0.363 0.062 0.732
O: 0.363 0.438 0.732
O: 0.863 0.062 0.768
O: 0.863 0.438 0.768
O: 0.536 0.250 0.961
O: 0.204 0.250 0.972
S: 0.633 0.750 0.145
S: 0.133 0.750 0.355
S: 0.867 0.250 0.645
S: 0.367 0.250 0.855
Zn: 0.639 0.250 0.210
Zn: 0.139 0.250 0.290
Zn: 0.861 0.750 0.710
Zn: 0.361 0.750 0.790

E_tot	-5.41	eV per atom
space group	No. 62

Number 4 is which compound?
NaLiNbOF5